1.
DyPuHg4: optimized geometry, PBE.

Cell: 5.0381 6.7313 8.6764 Å, 90.00 90.00 90.00°
With the nearest neighbours (Å) after each atom.
Space group Immm (No. 71)
Inequivalent atoms, fractional coordinates:
Dy1 0.0000 0.0000 0.0000 x2  12 Hg 3.34-3.36, 2 Pu 3.37
Pu1 0.0000 0.5000 0.0000 x2  12 Hg 3.35-3.36, 2 Dy 3.37
Hg1 0.0000 0.2494 0.3331 x8  3 Hg 2.90

ΔE to the lowest computed polymorph in meV/atom: 17.4
Energy of formation from the pure elements in eV/atom: -0.2549



2.
PmHoZnGe: optimized geometry, PBE.

Cell: 4.1263 4.2318 11.0900 Å, 90.00 90.00 90.00°
With the nearest neighbours (Å) after each atom.
Space group Amm2 (No. 38)
Inequivalent atoms, fractional coordinates:
Pm1 0.0000 0.0000 0.0000 x2  4 Zn 3.06, 3 Ge 3.09-3.24
Ho1 0.5000 0.0000 0.2826 x2  4 Ge 3.03, 3 Zn 3.14-3.22
Zn1 0.5000 0.0000 0.5731 x2  2 Ge 2.64
Ge1 0.0000 0.0000 0.7211 x2  2 Zn 2.64

ΔE to the lowest computed polymorph in meV/atom: 0.0
Energy of formation from the pure elements in eV/atom: -0.6004



3.
LiAuSeN2: optimized geometry, PBE.

Cell: 3.7446 3.7446 5.6297 Å, 90.00 90.00 90.00°
With the nearest neighbours (Å) after each atom.
Space group P4/mmm (No. 123)
Inequivalent atoms, fractional coordinates:
Li1 0.0000 0.0000 0.0000 x1  4 N 1.87
Au1 0.5000 0.5000 0.5000 x1  4 Se 2.65
Se1 0.0000 0.0000 0.5000 x1  4 Au 2.65, 2 Li 2.81
N1 0.0000 0.5000 0.0000 x2  2 Li 1.87

ΔE to the lowest computed polymorph in meV/atom: 363.4
Energy relative to the elements, uncorrected in eV/atom: 1.65



4.
Ba2PaZn2N4: optimized geometry, PBE.

Cell: 13.3549 3.6154 6.5698 Å, 90.00 107.31 90.00°
With the nearest neighbours (Å) after each atom.
Space group C2/m (No. 12)
Inequivalent atoms, fractional coordinates:
Ba1 0.1362 0.0000 0.0531 x4  7 N 2.88-3.20
Pa1 0.0000 0.0000 0.5000 x2  6 N 2.33-2.48
Zn1 0.1799 0.5000 0.4979 x4  4 N 2.09-2.25
N1 0.0257 0.5000 0.2963 x4  1 Zn 2.09, 2 Pa 2.33
N2 0.1930 0.0000 0.6633 x4  3 Zn 2.09-2.25

Energy relative to the elements, uncorrected in eV/atom: -0.59



5.
CaZnH2F8: optimized geometry, PBE.

Cell: 4.5288 7.2929 4.8796 Å, 90.00 116.70 90.00°
With the nearest neighbours (Å) after each atom.
Space group P2/m (No. 10)
Inequivalent atoms, fractional coordinates:
Ca1 0.0000 0.0000 0.0000 x1  8 F 2.34-2.60
Zn1 0.0000 0.5000 0.0000 x1  6 F 1.97-2.13
H1 0.0000 0.2749 0.5000 x2  2 F 1.15
F1 0.0479 0.2703 0.2876 x4  1 H 1.15
F2 0.4226 0.0000 0.7756 x2  1 F 1.98
F3 0.4876 0.5000 0.1949 x2  1 F 1.96, 1 Zn 1.97



6.
AlHRh2O: optimized geometry, PBE.

Cell: 4.2958 4.2958 2.9170 Å, 90.00 90.00 90.00°
With the nearest neighbours (Å) after each atom.
Space group P4/mmm (No. 123)
Inequivalent atoms, fractional coordinates:
Al1 0.0000 0.0000 0.0000 x1  8 Rh 2.60
H1 0.5000 0.5000 0.5000 x1  2 O 1.46
Rh1 0.0000 0.5000 0.5000 x2  2 H 2.15
O1 0.5000 0.5000 0.0000 x1  2 H 1.46



7.
Tb4Sm2Ge3O2: optimized geometry, PBE.

Cell: 4.5784 4.5784 24.0601 Å, 90.00 90.00 90.00°
With the nearest neighbours (Å) after each atom.
Space group I4/mmm (No. 139)
Inequivalent atoms, fractional coordinates:
Tb1 0.0000 0.5000 0.0800 x8  2 O 2.32
Sm1 0.0000 0.0000 0.1979 x4  1 O 2.47
Ge1 0.0000 0.0000 0.3258 x4  5 Sm 3.08-3.29, 4 Tb 3.22
Ge2 0.0000 0.0000 0.5000 x2  8 Tb 2.99
O1 0.0000 0.0000 0.0955 x4  4 Tb 2.32, 1 Sm 2.47

Energy relative to the elements, uncorrected in eV/atom: -1.57



8.
CaTaIn2Pt: optimized geometry, PBE.

Cell: 5.1406 5.1406 5.1540 Å, 90.00 90.00 90.00°
With the nearest neighbours (Å) after each atom.
Space group P4/mmm (No. 123)
Inequivalent atoms, fractional coordinates:
Ca1 0.0000 0.0000 0.0000 x1  4 Ta 3.63, 8 In 3.64
Ta1 0.5000 0.5000 0.0000 x1  2 Pt 2.58
In1 0.0000 0.5000 0.5000 x2  2 Pt 2.57
Pt1 0.5000 0.5000 0.5000 x1  4 In 2.57, 2 Ta 2.58

Energy of formation from the pure elements in eV/atom: 0.3140



Calculated total energy (eV/atom), listed in the same order as above: -3.61; -4.41; -3.41; -6.06; -4.09; -5.30; -6.27; -4.76